Entry 1:
## SrZrRe2F (PBE)

Data for an optimized crystal structure of SrZrRe2F.

Results
Energy, eV/atom: -5.8246
V, Å³ per atom: 22.961
Formation energy (no corrections), eV per atom: 1.575
Symmetry: P4/mmm

Cell and atoms, written as CIF:
```
data_SrZrRe2F
_chemical_formula_sum 'Sr1 Zr1 Re2 F1'
_symmetry_space_group_name_H-M 'P 1'
_symmetry_Int_Tables_number 1
_symmetry_space_group_name_Hall 'P 1'
_cell_length_a 5.253
_cell_length_b 5.253
_cell_length_c 4.161
_cell_angle_alpha 90.00
_cell_angle_beta 90.00
_cell_angle_gamma 90.00
loop_
_atom_site_label
_atom_site_type_symbol
_atom_site_fract_x
_atom_site_fract_y
_atom_site_fract_z
_atom_site_occupancy
Sr1 Sr 0.000 0.000 0.000 1
Zr1 Zr 0.500 0.500 0.500 1
Re1 Re 0.000 0.500 0.000 1
Re2 Re 0.500 0.000 0.000 1
F1 F 0.000 0.000 0.500 1
```

***

Entry 2:
## TaRe2F (PBE)

Data for an optimized crystal structure of TaRe2F.

Results
Energy, eV/atom: -9.2055
V, Å³ per atom: 15.003
Energy above the most stable polymorph in this dataset, meV/atom: 0
Formation energy (no corrections), eV per atom: 0.450
Symmetry: I-42d

Cell and atoms, written as CIF:
```
data_TaRe2F
_chemical_formula_sum 'Ta2 Re4 F2'
_symmetry_space_group_name_H-M 'P 1'
_symmetry_Int_Tables_number 1
_symmetry_space_group_name_Hall 'P 1'
_cell_length_a 5.499
_cell_length_b 5.499
_cell_length_c 5.499
_cell_angle_alpha 101.98
_cell_angle_beta 101.98
_cell_angle_gamma 125.80
loop_
_atom_site_label
_atom_site_type_symbol
_atom_site_fract_x
_atom_site_fract_y
_atom_site_fract_z
_atom_site_occupancy
Ta1 Ta 0.000 0.000 0.000 1
Ta2 Ta 0.750 0.250 0.500 1
Re1 Re 0.175 0.625 0.050 1
Re2 Re 0.375 0.425 0.550 1
Re3 Re 0.575 0.125 0.950 1
Re4 Re 0.875 0.825 0.450 1
F1 F 0.250 0.750 0.500 1
F2 F 0.500 0.500 0.000 1
```

***

Question: Look up the formation energy (no corrections) of the first one.
Answer: 1.575 eV per atom

***

Question: V of number 1 (SrZrRe2F)?
Answer: 22.961 Å³ per atom

***

Question: V of number 1 (SrZrRe2F)?
Answer: 22.961 Å³ per atom

***

Question: energy of number 2 (TaRe2F)?
Answer: -9.2055 eV/atom